Record 1
Entry from Alexandria: a relaxed structure of La4SiPSe2 (PBE).

## Properties
Formation energy without anion corrections, eV per atom: -1.620
Space-group type: P2/m, No. 10

Cell: 4.330 7.542 7.494 Å, 70.65 90.00 90.00°
Positions (direct):
La1 0.000 0.735 0.756
La2 0.000 0.265 0.244
La3 0.500 0.738 0.253
La4 0.500 0.262 0.747
Si1 0.000 0.500 0.500
P1 0.500 0.500 0.000
Se1 0.000 0.000 0.000
Se2 0.500 0.000 0.500

Record 2
Entry from Alexandria: a relaxed structure of TbTlZn2 (PBE).

## Properties
ΔE_f, eV/atom: -0.21
Excess energy over the best structure of this formula in the dataset, meV per atom: 0
Space-group type: P4/mmm, No. 123

Cell: 4.176 4.568 4.568 Å, 90.00 90.00 90.00°
Positions (direct):
Tl1 0.500 0.000 0.000
Tb1 0.500 0.500 0.500
Zn1 0.000 0.000 0.500
Zn2 0.000 0.500 0.000

Record 3
Entry from Alexandria: a relaxed structure of Zn2PW (PBE).

## Properties
ΔE_f, eV/atom: 0.39
Space-group type: P4/mmm, No. 123

Cell: 2.703 2.703 8.379 Å, 90.00 90.00 90.00°
Positions (direct):
Zn1 0.000 0.000 0.747
Zn2 0.000 0.000 0.253
P1 0.500 0.500 0.000
W1 0.500 0.500 0.500

Record 4
Entry from Alexandria: a relaxed structure of TaIr2Cl (PBE).

## Properties
Formation energy without anion corrections, eV per atom: 0.612
Excess energy over the best structure of this formula in the dataset, meV per atom: 625
Space-group type: I-42d, No. 122

Cell: 6.043 6.043 6.403 Å, 61.85 61.85 90.00°
Positions (direct):
Cl1 0.500 0.500 0.000
Cl2 0.250 0.750 0.500
Ir1 0.615 0.125 0.250
Ir2 0.135 0.625 0.250
Ir3 0.375 0.385 0.750
Ir4 0.875 0.865 0.750
Ta1 0.000 0.000 0.000
Ta2 0.750 0.250 0.500

Record 5
Entry from Alexandria: a relaxed structure of Hf6Zr2N (PBE).

## Properties
Formation energy without anion corrections, eV per atom: -0.372
Space-group type: I4/mmm, No. 139

Cell: 6.379 6.379 9.008 Å, 90.00 90.00 90.00°
Positions (direct):
Hf1 0.000 0.000 0.250
Hf2 0.749 0.749 0.500
Hf3 0.751 0.751 0.000
Hf4 0.749 0.251 0.500
Hf5 0.751 0.249 0.000
Hf6 0.500 0.500 0.250
Hf7 0.000 0.000 0.750
Hf8 0.251 0.251 0.500
Hf9 0.249 0.249 0.000
Hf10 0.251 0.749 0.500
Hf11 0.249 0.751 0.000
Hf12 0.500 0.500 0.750
Zr1 0.000 0.500 0.750
Zr2 0.500 0.000 0.750
Zr3 0.500 0.000 0.250
Zr4 0.000 0.500 0.250
N1 0.500 0.500 0.000
N2 0.000 0.000 0.500

Record 6
Entry from Alexandria: a relaxed structure of CsMg7 (PBE).

## Properties
ΔE_f, eV/atom: 0.28
Space-group type: P-6m2, No. 187

Cell: 7.026 7.026 5.451 Å, 90.00 90.00 120.00°
Positions (direct):
Cs1 0.000 0.000 0.000
Mg1 0.008 0.504 0.000
Mg2 0.496 0.504 0.000
Mg3 0.496 0.992 0.000
Mg4 0.186 0.372 0.500
Mg5 0.186 0.814 0.500
Mg6 0.628 0.814 0.500
Mg7 0.667 0.333 0.500

Record 7
Entry from Alexandria: a relaxed structure of CaMgZr2 (PBE).

## Properties
ΔE_f, eV/atom: 0.26
Space-group type: C2/m, No. 12

Cell: 6.584 6.584 3.131 Å, 77.94 77.94 123.49°
Positions (direct):
Ca1 0.500 0.000 0.500
Mg1 0.000 0.500 0.500
Zr1 0.000 0.000 0.000
Zr2 0.500 0.500 0.000

Record 8
Entry from Alexandria: a relaxed structure of V2Ag2RhSe6 (PBE).

## Properties
Formation energy without anion corrections, eV per atom: -0.431
Space-group type: C2/m, No. 12

Cell: 6.137 6.137 7.846 Å, 84.00 84.00 122.07°
Positions (direct):
V1 0.374 0.626 0.500
V2 0.626 0.374 0.500
Ag1 0.849 0.151 0.000
Ag2 0.151 0.849 0.000
Rh1 0.000 0.000 0.500
Se1 0.611 0.611 0.725
Se2 0.933 0.289 0.673
Se3 0.389 0.389 0.275
Se4 0.289 0.933 0.673
Se5 0.067 0.711 0.327
Se6 0.711 0.067 0.327

Record 9
Entry from Alexandria: a relaxed structure of AlH2N (PBE).

## Properties
Excess energy over the best structure of this formula in the dataset, meV per atom: 0
Space-group type: I4_1/amd, No. 141

Cell: 2.640 2.640 12.052 Å, 83.71 83.71 90.00°
Positions (direct):
H1 0.875 0.125 0.250
H2 0.875 0.625 0.250
H3 0.375 0.125 0.750
H4 0.875 0.125 0.750
Al1 0.000 0.000 0.000
Al2 0.750 0.250 0.500
N1 0.500 0.500 0.000
N2 0.250 0.750 0.500

Record 10
Entry from Alexandria: a relaxed structure of LiCdH2 (PBE).

## Properties
Excess energy over the best structure of this formula in the dataset, meV per atom: 96
Space-group type: I-42d, No. 122

Cell: 4.468 4.468 5.924 Å, 67.84 67.84 90.00°
Positions (direct):
H1 0.619 0.125 0.250
H2 0.131 0.625 0.250
H3 0.375 0.381 0.750
H4 0.875 0.869 0.750
Li1 0.500 0.500 0.000
Li2 0.250 0.750 0.500
Cd1 0.000 0.000 0.000
Cd2 0.750 0.250 0.500

Record 11
Entry from Alexandria: a relaxed structure of Ho3GeBi2 (PBE).

## Properties
ΔE_f, eV/atom: -0.69
Space-group type: Cmcm, No. 63

Cell: 7.531 7.493 7.493 Å, 121.90 90.00 90.00°
Positions (direct):
Ho1 0.470 0.147 0.853
Ho2 0.970 0.147 0.853
Ho3 0.470 0.500 0.500
Ho4 0.970 0.500 0.500
Ho5 0.970 0.853 0.147
Ho6 0.470 0.853 0.147
Ge1 0.720 0.820 0.820
Ge2 0.220 0.180 0.180
Bi1 0.720 0.172 0.522
Bi2 0.220 0.478 0.828
Bi3 0.220 0.828 0.478
Bi4 0.720 0.522 0.172

Record 12
Entry from Alexandria: a relaxed structure of La2Nd5Ho5 (PBE).

## Properties
ΔE_f, eV/atom: 0.02
Space-group type: C2/m, No. 12

Cell: 5.111 8.139 10.885 Å, 72.79 76.42 71.70°
Positions (direct):
La1 0.918 0.414 0.751
La2 0.082 0.586 0.249
Nd1 0.834 0.832 0.500
Nd2 0.248 0.752 0.753
Nd3 0.752 0.248 0.247
Nd4 0.166 0.168 0.500
Nd5 0.000 0.000 0.000
Ho1 0.500 0.500 0.500
Ho2 0.333 0.332 0.001
Ho3 0.416 0.918 0.249
Ho4 0.584 0.082 0.751
Ho5 0.667 0.668 0.999

Record 13
Entry from Alexandria: a relaxed structure of YVPt3 (PBE).

## Properties
ΔE_f, eV/atom: 1.05
Excess energy over the best structure of this formula in the dataset, meV per atom: 1268
Space-group type: Pm-3m, No. 221

Cell: 5.046 5.046 5.046 Å, 90.00 90.00 90.00°
Positions (direct):
Y1 0.000 0.000 0.000
Pt1 0.000 0.500 0.000
Pt2 0.000 0.000 0.500
Pt3 0.500 0.000 0.000
V1 0.500 0.500 0.500

Record 14
Entry from Alexandria: a relaxed structure of CoTe2N (PBE).

## Properties
Formation energy without anion corrections, eV per atom: 0.569
Space-group type: R-3m, No. 166

Cell: 6.706 6.706 6.706 Å, 34.04 34.04 34.04°
Positions (direct):
Te1 0.898 0.898 0.898
Te2 0.102 0.102 0.102
Co1 0.500 0.500 0.500
N1 0.000 0.000 0.000

Record 15
Entry from Alexandria: a relaxed structure of Pm2Er3Mg3 (PBE).

## Properties
ΔE_f, eV/atom: -0.02
Space-group type: R3m, No. 160

Cell: 5.446 5.446 9.501 Å, 73.35 73.35 60.00°
Positions (direct):
Pm1 0.003 0.003 0.991
Pm2 0.498 0.498 0.506
Er1 0.246 0.246 0.262
Er2 0.753 0.753 0.742
Er3 0.625 0.625 0.125
Mg1 0.125 0.125 0.624
Mg2 0.878 0.878 0.367
Mg3 0.372 0.372 0.883

Record 16
Entry from Alexandria: a relaxed structure of Cs2CdH6Au2 (PBE).

## Properties
Space-group type: C2/m, No. 12

Cell: 5.965 6.172 7.246 Å, 117.99 90.00 118.89°
Positions (direct):
Cs1 0.717 0.434 0.153
Cs2 0.283 0.566 0.847
Cd1 0.500 0.000 0.500
H1 0.744 0.489 0.726
H2 0.251 0.019 0.308
H3 0.232 0.981 0.692
H4 0.749 0.981 0.692
H5 0.768 0.019 0.308
H6 0.256 0.511 0.274
Au1 0.903 0.806 0.721
Au2 0.097 0.194 0.279

Record 17
Entry from Alexandria: a relaxed structure of KAgBi (PBE).

## Properties
ΔE_f, eV/atom: -0.02
Excess energy over the best structure of this formula in the dataset, meV per atom: 147
Space-group type: P-1, No. 2

Cell: 4.801 4.813 11.600 Å, 90.46 90.24 60.09°
Positions (direct):
K1 0.669 0.168 0.328
K2 0.331 0.832 0.672
Ag1 0.666 0.167 0.946
Ag2 0.334 0.833 0.054
Bi1 0.998 0.501 0.864
Bi2 0.002 0.499 0.136

Record 18
Entry from Alexandria: a relaxed structure of VZnH (PBE).

## Properties
Excess energy over the best structure of this formula in the dataset, meV per atom: 1089
Space-group type: P6_3/mmc, No. 194

Cell: 4.137 4.137 4.957 Å, 90.00 90.00 120.00°
Positions (direct):
H1 0.000 0.000 0.000
H2 0.000 0.000 0.500
Zn1 0.333 0.667 0.250
Zn2 0.667 0.333 0.750
V1 0.333 0.667 0.750
V2 0.667 0.333 0.250

Sequential total energy output: -6.309; -2.596; -4.834; -7.243; -9.832; -1.223; -4.914; -5.176; -4.666; -2.282; -5.045; -4.693; -5.689; -4.860; -3.512; -2.693; -2.626; -3.543 eV per atom
Sequential size of the total moment output: 0.00; 0.00; 0.00; 0.00; 0.00; 0.00; 0.00; 1.00; 0.00; 0.00; 0.00; 0.00; 3.29; 0.00; 0.00; 0.00; 0.00; 0.00 Bohr magnetons per cell